(1)
# NbNi8Rh2, optimized geometry, DFT PBE-GGA
# * total magnetic moment: 7.19 μB per cell
# * formation enthalpy at 0 K: 54 meV per atom
data_NbNi8Rh2
_space_group_name_H-M_alt 'I m m m'
_space_group_IT_number 71
_space_group_name_Hall '-I 2 2'
_cell_length_a 4.367
_cell_length_b 4.998
_cell_length_c 12.572
_cell_angle_alpha 90.00
_cell_angle_beta 90.00
_cell_angle_gamma 90.00
loop_
_atom_site_label
_atom_site_type_symbol
_atom_site_fract_x
_atom_site_fract_y
_atom_site_fract_z
Nb1 Nb 0.000 0.000 0.000
Ni1 Ni 0.000 0.000 0.198
Ni2 Ni 0.000 0.266 0.365
Ni3 Ni 0.250 0.000 0.500
Rh1 Rh 0.000 0.500 0.181

=====

(2)
# CeErLuTi, optimized geometry, DFT PBE-GGA
# * total magnetic moment: 8.41 μB per cell
# * formation enthalpy at 0 K: 240 meV per atom
data_CeErLuTi
_space_group_name_H-M_alt 'F -4 3 m'
_space_group_IT_number 216
_space_group_name_Hall 'F -4 2 3'
_cell_length_a 7.530
_cell_length_b 7.530
_cell_length_c 7.530
_cell_angle_alpha 90.00
_cell_angle_beta 90.00
_cell_angle_gamma 90.00
loop_
_atom_site_label
_atom_site_type_symbol
_atom_site_fract_x
_atom_site_fract_y
_atom_site_fract_z
Ce1 Ce 0.000 0.000 0.000
Er1 Er 0.000 0.000 0.500
Lu1 Lu 0.250 0.250 0.250
Ti1 Ti 0.250 0.250 0.750

=====

(3)
# Rb3TmAl2O6, optimized geometry, DFT PBE-GGA
# * raw formation energy: -230.1 kJ/mol of atoms
# * total magnetic moment: 0.00 μB per cell
data_Rb3TmAl2O6
_space_group_name_H-M_alt 'P -3 m 1'
_space_group_IT_number 164
_space_group_name_Hall '-P 3 2"'
_cell_length_a 6.0629
_cell_length_b 6.0629
_cell_length_c 7.3274
_cell_angle_alpha 90.00
_cell_angle_beta 90.00
_cell_angle_gamma 120.00
loop_
_atom_site_label
_atom_site_type_symbol
_atom_site_fract_x
_atom_site_fract_y
_atom_site_fract_z
Rb1 Rb 0.0000 0.0000 0.0000
Rb2 Rb 0.3333 0.6667 0.7533
Tm1 Tm 0.0000 0.0000 0.5000
Al1 Al 0.3333 0.6667 0.3114
O1 O 0.1705 0.3409 0.3104

=====

Question: Among the records above, which one has the highest total magnetic moment?
Answer: CeErLuTi